A relaxed structure of Zr7Ni10. Source: Alexandria via LeMat-Bulk, functional GGA-PBE.

Properties
- DFT formation energy: -448 meV/atom
- E: -7.368 eV/atom
- DOS(E_F): 0.788 states/eV/atom
- Total magnetic moment: 0.000 μB per formula unit

Cell lengths 7.727, 7.727, 9.224 Å; angles 90.00, 90.00, 107.03 degrees
Positions (direct):
Zr1 0.808 0.192 0.500
Ni1 0.847 0.136 0.208
Ni2 0.864 0.153 0.792
Ni3 0.437 0.147 0.507
Ni4 0.653 0.364 0.708
Ni5 0.106 0.106 0.604
Ni6 0.937 0.647 0.993
Ni7 0.606 0.606 0.896
Ni8 0.153 0.864 0.792
Zr2 0.686 0.686 0.187
Ni9 0.563 0.853 0.493
Zr3 0.503 0.003 0.750
Zr4 0.500 0.500 0.500
Ni10 0.364 0.653 0.708
Zr5 0.692 0.308 0.000
Zr6 0.314 0.314 0.813
Ni11 0.853 0.563 0.493
Ni12 0.647 0.937 0.993
Ni13 0.063 0.353 0.007
Ni14 0.894 0.894 0.396
Ni15 0.394 0.394 0.104
Zr7 0.000 0.000 0.000
Ni16 0.636 0.347 0.292
Zr8 0.997 0.497 0.250
Zr9 0.186 0.186 0.313
Ni17 0.147 0.437 0.507
Zr10 0.192 0.808 0.500
Zr11 0.003 0.503 0.750
Ni18 0.136 0.847 0.208
Ni19 0.347 0.636 0.292
Zr12 0.497 0.997 0.250
Zr13 0.308 0.692 0.000
Ni20 0.353 0.063 0.007
Zr14 0.814 0.814 0.687

A relaxed structure of Rb3YHo2S6. Source: Alexandria via LeMat-Bulk, functional GGA-PBE.

Properties
- E: -5.464 eV/atom
- DOS(E_F): 0.000 states/eV/atom
- Total magnetic moment: 0.000 μB per formula unit

Cell lengths 7.048, 7.048, 8.038 Å; angles 98.40, 98.40, 120.00 degrees
Positions (direct):
Rb1 0.833 0.167 0.500
S1 0.601 0.936 0.809
S2 0.729 0.729 0.191
Y1 0.000 0.000 0.000
S3 0.064 0.399 0.191
Rb2 0.500 0.500 0.500
Ho1 0.333 0.667 0.000
Rb3 0.167 0.833 0.500
S4 0.271 0.271 0.809
S5 0.936 0.601 0.809
Ho2 0.667 0.333 0.000
S6 0.399 0.064 0.191

A relaxed structure of Na6Cd12Au. Source: Alexandria via LeMat-Bulk, functional GGA-PBE.

Properties
- DFT formation energy: -89 meV/atom
- E: -1.256 eV/atom
- DOS(E_F): 0.352 states/eV/atom
- Total magnetic moment: 0.000 μB per formula unit

Cell lengths 7.786, 7.786, 7.786 Å; angles 94.68, 85.32, 85.32 degrees
Positions (direct):
Cd1 0.788 0.530 0.465
Cd2 0.368 0.868 0.939
Na1 0.256 0.118 0.281
Na2 0.118 0.719 0.256
Cd3 0.465 0.788 0.470
Na3 0.281 0.256 0.882
Na4 0.882 0.281 0.744
Na5 0.744 0.882 0.719
Cd4 0.530 0.535 0.788
Cd5 0.939 0.368 0.132
Na6 0.719 0.744 0.118
Cd6 0.470 0.465 0.212
Cd7 0.212 0.470 0.535
Au1 0.000 0.000 0.000
Cd8 0.132 0.939 0.632
Cd9 0.535 0.212 0.530
Cd10 0.632 0.132 0.061
Cd11 0.868 0.061 0.368
Cd12 0.061 0.632 0.868

A relaxed structure of AlReAs2. Source: Alexandria via LeMat-Bulk, functional GGA-PBE.

Properties
- Offset from the most stable computed form: 0.489 eV/atom
- DFT formation energy: 523 meV/atom
- E: -5.850 eV/atom
- DOS(E_F): 0.466 states/eV/atom
- Total magnetic moment: 0.000 μB per formula unit

Cell lengths 4.490, 4.490, 4.490 Å; angles 60.00, 60.00, 60.00 degrees
Positions (direct):
Re1 0.750 0.750 0.750
As1 0.250 0.250 0.250
Al1 0.500 0.500 0.500
As2 0.000 0.000 0.000

A relaxed structure of Tb2Sm2Dy5. Source: Alexandria via LeMat-Bulk, functional GGA-PBE.

Properties
- Offset from the most stable computed form: 0.212 eV/atom
- DFT formation energy: 245 meV/atom
- E: -4.390 eV/atom
- DOS(E_F): 1.409 states/eV/atom
- Total magnetic moment: 0.000 μB per formula unit

Cell lengths 3.497, 8.212, 12.546 Å; angles 120.83, 98.01, 90.00 degrees
Positions (direct):
Dy1 0.690 0.853 0.381
Dy2 0.097 0.458 0.195
Sm1 0.182 0.217 0.365
Sm2 0.818 0.783 0.635
Tb1 0.453 0.260 0.905
Dy3 0.000 0.000 0.000
Tb2 0.547 0.740 0.095
Dy4 0.310 0.147 0.619
Dy5 0.903 0.542 0.805

- Which value of DOS(E_F) does entry 5 give?
  1.409 states/eV/atom

- The highest E belongs to which entry?
  Na6Cd12Au